ScPaCr2O6 | PBE with a Hubbard U | relaxed

Cell: 5.494 5.511 5.808 Å, 61.79 64.75 60.13°
Positions (direct):
Sc (0.000, 0.000, 0.000)
Pa (0.505, 0.497, 0.495)
Cr (0.205, 0.202, 0.389)
Cr (0.718, 0.696, 0.882)
O (0.123, 0.377, 0.679)
O (0.265, 0.909, 0.224)
O (0.401, 0.804, 0.694)
O (0.637, 0.307, 0.174)
O (0.775, 0.090, 0.724)
O (0.906, 0.609, 0.190)

Results
- Raw total energy: -87.8 eV per cell